Entry from OQMD via LeMat-Bulk: an optimized crystal structure of BaSnSbPd2 (PBE-GGA).

Lattice parameters (Å, degrees): 4.7391 4.7391 11.0180 90.00 90.00 90.00
Last column: nearest neighbours and their distance in Å.
Space group P4/nmm (No. 129, origin choice 2)
Inequivalent atoms, fractional coordinates:
1 Ba 0.2500 0.2500 0.2431 (multiplicity 2)  8 Pd 3.58-3.64, 4 Sb 3.60, 4 Sn 3.69
2 Sn 0.2500 0.7500 0.5000 (multiplicity 2)  4 Pd 2.76
3 Sb 0.2500 0.2500 0.8766 (multiplicity 2)  5 Pd 2.73
4 Pd 0.2500 0.2500 0.6290 (multiplicity 2)  1 Sb 2.73, 4 Sn 2.76
5 Pd 0.2500 0.7500 0.0000 (multiplicity 2)  4 Sb 2.73

Summary:
- ρ: 7.93 g/cm³
- Energy relative to the lowest polymorph listed for this composition: 0.000 eV/atom
- V: 247.5 Å³/cell